Entry 1:
DFT (PBE) results for a relaxed Li2YNpS4 crystal.

Cell: 6.583 3.929 6.806 Å, 90.00 110.35 90.00°
Space group P2/m (No. 10)
Unique sites:
Li: 0.000 0.000 0.000 (multiplicity 1)
Li: 0.000 0.500 0.500 (multiplicity 1)
Y: 0.500 0.000 0.500 (multiplicity 1)
Np: 0.500 0.500 0.000 (multiplicity 1)
S: 0.247 0.500 0.250 (multiplicity 2)
S: 0.248 0.000 0.749 (multiplicity 2)

Total moment: 0.50 μB per atom
Calculated density: 4.709 g/cm³
Formation energy from raw total energies: -1.5886 eV per atom

Entry 2:
DFT (PBE) results for a relaxed CaNdMg6 crystal.

Cell: 5.230 7.191 11.392 Å, 90.00 90.00 90.00°
Space group Amm2 (No. 38)
Unique sites:
Ca: 0.000 0.000 0.000 (multiplicity 2)
Nd: 0.500 0.000 0.711 (multiplicity 2)
Mg: 0.000 0.000 0.524 (multiplicity 2)
Mg: 0.000 0.224 0.263 (multiplicity 4)
Mg: 0.500 0.000 0.192 (multiplicity 2)
Mg: 0.500 0.218 0.447 (multiplicity 4)

Total moment: 0.00 μB per atom
Calculated density: 2.559 g/cm³
Energy of formation: -0.0702 eV per atom

Entry 3:
DFT (PBE) results for a relaxed Na8Cd2Au crystal.

Cell: 17.745 5.410 7.124 Å, 90.00 109.71 90.00°
Space group C2/m (No. 12)
Unique sites:
Na: 0.013 0.000 0.267 (multiplicity 4)
Na: 0.115 0.500 0.917 (multiplicity 4)
Na: 0.151 0.500 0.418 (multiplicity 4)
Na: 0.188 0.000 0.726 (multiplicity 4)
Cd: 0.188 0.000 0.186 (multiplicity 4)
Au: 0.000 0.500 0.500 (multiplicity 2)

Total moment: 0.00 μB per atom
Calculated density: 3.124 g/cm³
Energy of formation: -0.0985 eV per atom

Entry 4:
DFT (PBE) results for a relaxed YBe2Sb crystal.

Cell: 4.238 4.238 3.955 Å, 90.00 90.00 90.00°
Space group P4/mmm (No. 123)
Unique sites:
Y: 0.000 0.000 0.000 (multiplicity 1)
Be: 0.000 0.500 0.500 (multiplicity 2)
Sb: 0.500 0.500 0.000 (multiplicity 1)

Total moment: 0.00 μB per atom
Calculated density: 5.347 g/cm³
Formation energy from raw total energies: 0.0095 eV per atom